1.
ScTi2Ge2 after structural relaxation, computed with GGA-PBE.

## Properties
ΔE_f (eV/atom): 0.02
Energy above the lowest structure with this stoichiometry (meV/atom): 648
E (eV per atom): -6.250
Space group: I4/mmm
Total moment (μB/f.u.): 0.0
Density of states at the Fermi level (states/eV/cell): 4.8
Crystal system: tetragonal

Cell lengths 4.1678, 4.1678, 6.3076 Å; angles 70.71, 70.71, 90.00 degrees
Sites, in units of the cell vectors:
Sc 0.0000 0.0000 0.0000
Ge 0.7500 0.2500 0.5000
Ge 0.2500 0.7500 0.5000
Ti 0.3925 0.3925 0.2151
Ti 0.6075 0.6075 0.7849

---

2.
CsPr2Sm3Te6 after structural relaxation, computed with GGA-PBE.

## Properties
E (eV per atom): -4.959
Space group: C2/m
Total moment (μB/f.u.): 0.0
Density of states at the Fermi level (states/eV/cell): 3.7
Crystal system: monoclinic

Cell lengths 4.4837, 9.4664, 10.3321 Å; angles 104.33, 102.53, 90.00 degrees
Sites, in units of the cell vectors:
Cs 0.5000 0.0000 0.0000
Pr 0.8273 0.6510 0.6545
Pr 0.1727 0.3490 0.3455
Sm 0.5000 0.5000 0.0000
Sm 0.8381 0.1795 0.6763
Sm 0.1619 0.8205 0.3237
Te 0.3215 0.9157 0.6430
Te 0.6630 0.5878 0.3260
Te 0.6785 0.0843 0.3570
Te 0.0024 0.2784 0.0049
Te 0.9976 0.7216 0.9951
Te 0.3370 0.4122 0.6740

---

3.
Ho5AlZn4 after structural relaxation, computed with GGA-PBE.

## Properties
ΔE_f (eV/atom): -0.36
E (eV per atom): -3.531
Space group: P4/mmm
Total moment (μB/f.u.): 0.0
Density of states at the Fermi level (states/eV/cell): 9.5
Crystal system: tetragonal

Cell lengths 3.5518, 3.5518, 17.8870 Å; angles 90.00, 90.00, 90.00 degrees
Sites, in units of the cell vectors:
Ho 0.5000 0.5000 0.1035
Ho 0.5000 0.5000 0.3014
Ho 0.5000 0.5000 0.5000
Ho 0.5000 0.5000 0.6986
Ho 0.5000 0.5000 0.8965
Al 0.0000 0.0000 0.0000
Zn 0.0000 0.0000 0.2023
Zn 0.0000 0.0000 0.4001
Zn 0.0000 0.0000 0.5999
Zn 0.0000 0.0000 0.7977